Computed, not measured: crystalline Sr3NiMo at its relaxed geometry at the PBE level of DFT.

extended XYZ file:
```
5
Lattice="5.695 0.000 0.000 0.000 5.695 0.000 0.000 0.000 5.695" Properties=species:S:1:pos:R:3 pbc="T T T"
Sr 0.000 0.000 2.848
Sr 0.000 2.848 0.000
Sr 2.848 0.000 0.000
Ni 0.000 0.000 0.000
Mo 2.848 2.848 2.848
```

Computed properties:
Energy above the most stable polymorph in this dataset, meV/atom: 0
Symmetry: No. 221


Computed, not measured: crystalline Sr2NiMo at its relaxed geometry at the PBE level of DFT.

extended XYZ file:
```
4
Lattice="3.230 0.000 0.000 0.000 3.230 0.000 0.000 0.000 9.102" Properties=species:S:1:pos:R:3 pbc="T T T"
Sr 0.000 0.000 2.034
Sr 0.000 0.000 7.068
Ni 1.615 1.615 0.000
Mo 1.615 1.615 4.551
```

Computed properties:
Energy above the most stable polymorph in this dataset, meV/atom: 330
Symmetry: No. 123


Computed, not measured: crystalline SrNiMo at its relaxed geometry at the PBE level of DFT.

extended XYZ file:
```
3
Lattice="4.773 0.000 0.000 -2.387 4.134 0.000 0.000 0.000 2.978" Properties=species:S:1:pos:R:3 pbc="T T T"
Sr 0.000 0.000 0.000
Ni 0.000 2.756 1.489
Mo 2.387 1.378 1.489
```

Computed properties:
Energy above the most stable polymorph in this dataset, meV/atom: 740
Symmetry: No. 187


Computed, not measured: crystalline SrNiMo at its relaxed geometry at the PBE level of DFT.

extended XYZ file:
```
6
Lattice="3.868 0.000 0.000 1.920 4.078 0.000 0.407 1.653 9.862" Properties=species:S:1:pos:R:3 pbc="T T T"
Sr 0.000 0.000 0.000
Sr 2.330 1.904 3.688
Ni 2.329 2.503 7.112
Ni 4.264 3.327 5.420
Mo 2.321 5.006 6.336
Mo 4.257 4.107 7.678
```

Computed properties:
Energy above the most stable polymorph in this dataset, meV/atom: 46
Symmetry: No. 1


Computed, not measured: crystalline SrNiMo at its relaxed geometry at the PBE level of DFT.

extended XYZ file:
```
6
Lattice="3.728 0.000 0.000 0.000 3.854 0.000 0.000 0.474 10.459" Properties=species:S:1:pos:R:3 pbc="T T T"
Sr 0.000 0.000 0.000
Sr 1.864 1.877 3.459
Ni 0.008 1.243 7.749
Ni 1.871 1.127 6.173
Mo 0.006 3.220 6.100
Mo 1.869 3.004 7.817
```

Computed properties:
Energy above the most stable polymorph in this dataset, meV/atom: 55
Symmetry: No. 1


Computed, not measured: crystalline SrNiMo at its relaxed geometry at the PBE level of DFT.

extended XYZ file:
```
6
Lattice="3.589 0.000 0.000 -0.001 6.183 0.000 -1.794 -2.041 5.685" Properties=species:S:1:pos:R:3 pbc="T T T"
Sr 0.002 1.588 0.272
Sr 1.793 2.555 5.414
Ni 0.000 1.234 3.296
Ni 1.795 2.909 2.389
Mo -0.001 4.424 3.272
Mo 1.795 -0.281 2.413
```

Computed properties:
Energy above the most stable polymorph in this dataset, meV/atom: 149
Symmetry: No. 2


Computed, not measured: crystalline SrNi4Mo at its relaxed geometry at the PBE level of DFT.

extended XYZ file:
```
6
Lattice="0.000 3.534 3.534 3.534 0.000 3.534 3.534 3.534 0.000" Properties=species:S:1:pos:R:3 pbc="T T T"
Sr 0.000 0.000 0.000
Ni 2.662 2.662 2.662
Ni 4.406 4.406 2.662
Ni 4.406 2.662 4.406
Ni 2.662 4.406 4.406
Mo 5.301 5.301 5.301
```

Computed properties:
Symmetry: No. 216


Computed, not measured: crystalline SrNiMo at its relaxed geometry at the PBE level of DFT.

extended XYZ file:
```
6
Lattice="3.880 0.000 0.000 -1.938 4.079 0.000 -0.027 -2.007 9.792" Properties=species:S:1:pos:R:3 pbc="T T T"
Sr 0.000 0.000 0.000
Sr -0.023 2.332 3.643
Ni -0.026 -0.330 5.361
Ni 1.916 -1.156 7.029
Mo -0.023 0.443 7.620
Mo 1.916 1.352 6.292
```

Computed properties:
Energy above the most stable polymorph in this dataset, meV/atom: 43
Symmetry: No. 1


| no. | formation energy (eV/atom) | E (eV/atom) | magnetization (μB/f.u.) |
| --- | --- | --- | --- |
| 1 | 0.782 | -3.549 | 4.586 |
| 2 | 0.859 | -4.135 | 0.000 |
| 3 | 1.015 | -5.083 | 0.003 |
| 4 | 0.322 | -5.776 | 0.000 |
| 5 | 0.330 | -5.768 | 0.000 |
| 6 | 0.424 | -5.674 | 0.000 |
| 7 | 0.363 | -5.577 | 2.574 |
| 8 | 0.318 | -5.780 | 0.000 |